# CaCdFe2

A geometry-optimized CaCdFe2 structure (GGA-PBEsol, Alexandria via LeMat-Bulk).

Structure (CIF):
```
data_CaCdFe2
_symmetry_space_group_name_H-M 'P 4 m m'
_symmetry_Int_Tables_number 99
_cell_length_a 3.114
_cell_length_b 3.114
_cell_length_c 7.253
_cell_angle_alpha 90.00
_cell_angle_beta 90.00
_cell_angle_gamma 90.00
loop_
_symmetry_equiv_pos_as_xyz
'x,y,z'
'-y,x,z'
'-x,-y,z'
'y,-x,z'
'-x,y,z'
'y,x,z'
'x,-y,z'
'-y,-x,z'
loop_
_atom_site_label
_atom_site_fract_x
_atom_site_fract_y
_atom_site_fract_z
Ca1 0.000 0.000 0.000
Cd1 0.500 0.500 0.665
Fe1 0.000 0.000 0.415
Fe2 0.500 0.500 0.288
```

Summary:
The formation energy comes out at 233 meV/atom.

=====

# CaCdFe2Tc

A geometry-optimized CaCdFe2Tc structure (GGA-PBEsol, Alexandria via LeMat-Bulk).

Structure (CIF):
```
data_CaCdFe2Tc
_symmetry_space_group_name_H-M 'P 4/m m m'
_symmetry_Int_Tables_number 123
_symmetry_space_group_name_Hall '-P 4 2'
_cell_length_a 4.299
_cell_length_b 4.299
_cell_length_c 5.004
_cell_angle_alpha 90.00
_cell_angle_beta 90.00
_cell_angle_gamma 90.00
loop_
_atom_site_label
_atom_site_fract_x
_atom_site_fract_y
_atom_site_fract_z
Ca1 0.000 0.000 0.000
Cd1 0.000 0.000 0.500
Fe1 0.000 0.500 0.000
Tc1 0.500 0.500 0.500
```

Summary:
The formation energy comes out at 2184 meV/atom.

=====

# CaCdGaPb2

A geometry-optimized CaCdGaPb2 structure (GGA-PBEsol, Alexandria via LeMat-Bulk).

Structure (CIF):
```
data_CaCdGaPb2
_symmetry_space_group_name_H-M 'P 4/m m m'
_symmetry_Int_Tables_number 123
_symmetry_space_group_name_Hall '-P 4 2'
_cell_length_a 5.643
_cell_length_b 5.643
_cell_length_c 4.980
_cell_angle_alpha 90.00
_cell_angle_beta 90.00
_cell_angle_gamma 90.00
loop_
_atom_site_label
_atom_site_fract_x
_atom_site_fract_y
_atom_site_fract_z
Ca1 0.000 0.000 0.000
Cd1 0.500 0.500 0.500
Ga1 0.500 0.500 0.000
Pb1 0.000 0.500 0.500
```

Summary:
The formation energy comes out at 195 meV/atom.

=====

# CaGdCd2

A geometry-optimized CaGdCd2 structure (GGA-PBEsol, Alexandria via LeMat-Bulk).

Structure (CIF):
```
data_CaGdCd2
_symmetry_space_group_name_H-M 'F m -3 m'
_symmetry_Int_Tables_number 225
_symmetry_space_group_name_Hall '-F 4 2 3'
_cell_length_a 7.441
_cell_length_b 7.441
_cell_length_c 7.441
_cell_angle_alpha 90.00
_cell_angle_beta 90.00
_cell_angle_gamma 90.00
loop_
_atom_site_label
_atom_site_fract_x
_atom_site_fract_y
_atom_site_fract_z
Ca1 0.000 0.000 0.000
Gd1 0.000 0.000 0.500
Cd1 0.250 0.250 0.250
```

Summary:
The formation energy comes out at -364 meV/atom.

=====

# CaCdGe

A geometry-optimized CaCdGe structure (GGA-PBEsol, Alexandria via LeMat-Bulk).

Structure (CIF):
```
data_CaCdGe
_symmetry_space_group_name_H-M 'P -6 2 m'
_symmetry_Int_Tables_number 189
_symmetry_space_group_name_Hall 'P -6 -2'
_cell_length_a 7.2254
_cell_length_b 7.2254
_cell_length_c 4.4214
_cell_angle_alpha 90.00
_cell_angle_beta 90.00
_cell_angle_gamma 120.00
loop_
_atom_site_label
_atom_site_fract_x
_atom_site_fract_y
_atom_site_fract_z
Ca1 0.0000 0.4200 0.0000
Cd1 0.0000 0.7468 0.5000
Ge1 0.0000 0.0000 0.0000
Ge2 0.3333 0.6667 0.5000
```

Summary:
The formation energy comes out at -538 meV/atom.

=====

# CaCdGe3

A geometry-optimized CaCdGe3 structure (GGA-PBEsol, Alexandria via LeMat-Bulk).

Structure (CIF):
```
data_CaCdGe3
_symmetry_space_group_name_H-M 'P m -3 m'
_symmetry_Int_Tables_number 221
_symmetry_space_group_name_Hall '-P 4 2 3'
_cell_length_a 5.309
_cell_length_b 5.309
_cell_length_c 5.309
_cell_angle_alpha 90.00
_cell_angle_beta 90.00
_cell_angle_gamma 90.00
loop_
_atom_site_label
_atom_site_fract_x
_atom_site_fract_y
_atom_site_fract_z
Ca1 0.000 0.000 0.000
Cd1 0.500 0.500 0.500
Ge1 0.000 0.000 0.500
```

Summary:
The formation energy comes out at 1004 meV/atom.

=====

# CaCdH3

A geometry-optimized CaCdH3 structure (GGA-PBEsol, Alexandria via LeMat-Bulk).

Structure (CIF):
```
data_CaCdH3
_symmetry_space_group_name_H-M 'P m -3 m'
_symmetry_Int_Tables_number 221
_symmetry_space_group_name_Hall '-P 4 2 3'
_cell_length_a 4.112
_cell_length_b 4.112
_cell_length_c 4.112
_cell_angle_alpha 90.00
_cell_angle_beta 90.00
_cell_angle_gamma 90.00
loop_
_atom_site_label
_atom_site_fract_x
_atom_site_fract_y
_atom_site_fract_z
Ca1 0.000 0.000 0.000
Cd1 0.500 0.500 0.500
H1 0.000 0.000 0.500
```

Summary:
Its energy is -12.64 eV per formula unit.

=====

# CaCd2H

A geometry-optimized CaCd2H structure (GGA-PBEsol, Alexandria via LeMat-Bulk).

Structure (CIF):
```
data_CaCd2H
_symmetry_space_group_name_H-M 'F m -3 m'
_symmetry_Int_Tables_number 225
_symmetry_space_group_name_Hall '-F 4 2 3'
_cell_length_a 7.036
_cell_length_b 7.036
_cell_length_c 7.036
_cell_angle_alpha 90.00
_cell_angle_beta 90.00
_cell_angle_gamma 90.00
loop_
_atom_site_label
_atom_site_fract_x
_atom_site_fract_y
_atom_site_fract_z
Ca1 0.000 0.000 0.000
Cd1 0.250 0.250 0.250
H1 0.000 0.000 0.500
```

Summary:
Its energy is -6.30 eV per formula unit.

=====

# CaCdH2

A geometry-optimized CaCdH2 structure (GGA-PBEsol, Alexandria via LeMat-Bulk).

Structure (CIF):
```
data_CaCdH2
_symmetry_space_group_name_H-M 'I -4 2 d'
_symmetry_Int_Tables_number 122
_symmetry_space_group_name_Hall 'I -4 2bw'
_cell_length_a 4.668
_cell_length_b 4.668
_cell_length_c 11.362
_cell_angle_alpha 90.00
_cell_angle_beta 90.00
_cell_angle_gamma 90.00
loop_
_atom_site_label
_atom_site_fract_x
_atom_site_fract_y
_atom_site_fract_z
Ca1 0.000 0.000 0.000
Cd1 0.000 0.000 0.500
H1 0.230 0.250 0.625
```

Summary:
Its energy is -9.99 eV per formula unit.

=====

# Ca3CdH

A geometry-optimized Ca3CdH structure (GGA-PBEsol, Alexandria via LeMat-Bulk).

Structure (CIF):
```
data_Ca3CdH
_symmetry_space_group_name_H-M 'P m -3 m'
_symmetry_Int_Tables_number 221
_symmetry_space_group_name_Hall '-P 4 2 3'
_cell_length_a 4.956
_cell_length_b 4.956
_cell_length_c 4.956
_cell_angle_alpha 90.00
_cell_angle_beta 90.00
_cell_angle_gamma 90.00
loop_
_atom_site_label
_atom_site_fract_x
_atom_site_fract_y
_atom_site_fract_z
Ca1 0.000 0.000 0.500
Cd1 0.500 0.500 0.500
H1 0.000 0.000 0.000
```

Summary:
Its energy is -12.28 eV per formula unit.

=====

# LiCa2CdH

A geometry-optimized LiCa2CdH structure (GGA-PBEsol, Alexandria via LeMat-Bulk).

Structure (CIF):
```
data_LiCa2CdH
_symmetry_space_group_name_H-M 'P 4/m m m'
_symmetry_Int_Tables_number 123
_symmetry_space_group_name_Hall '-P 4 2'
_cell_length_a 5.112
_cell_length_b 5.112
_cell_length_c 4.010
_cell_angle_alpha 90.00
_cell_angle_beta 90.00
_cell_angle_gamma 90.00
loop_
_atom_site_label
_atom_site_fract_x
_atom_site_fract_y
_atom_site_fract_z
Li1 0.000 0.000 0.000
Ca1 0.000 0.500 0.500
Cd1 0.500 0.500 0.000
H1 0.000 0.000 0.500
```

Summary:
Its energy is -12.35 eV per formula unit.

=====

# CaCd2HO

A geometry-optimized CaCd2HO structure (GGA-PBEsol, Alexandria via LeMat-Bulk).

Structure (CIF):
```
data_CaCd2HO
_symmetry_space_group_name_H-M 'P 4/m m m'
_symmetry_Int_Tables_number 123
_symmetry_space_group_name_Hall '-P 4 2'
_cell_length_a 3.897
_cell_length_b 3.897
_cell_length_c 5.724
_cell_angle_alpha 90.00
_cell_angle_beta 90.00
_cell_angle_gamma 90.00
loop_
_atom_site_label
_atom_site_fract_x
_atom_site_fract_y
_atom_site_fract_z
Ca1 0.000 0.000 0.000
Cd1 0.000 0.500 0.500
H1 0.000 0.000 0.500
O1 0.500 0.500 0.000
```

Summary:
Its energy is -14.46 eV per formula unit.

=====

# CaHfCd3

A geometry-optimized CaHfCd3 structure (GGA-PBEsol, Alexandria via LeMat-Bulk).

Structure (CIF):
```
data_CaHfCd3
_symmetry_space_group_name_H-M 'P m -3 m'
_symmetry_Int_Tables_number 221
_symmetry_space_group_name_Hall '-P 4 2 3'
_cell_length_a 5.179
_cell_length_b 5.179
_cell_length_c 5.179
_cell_angle_alpha 90.00
_cell_angle_beta 90.00
_cell_angle_gamma 90.00
loop_
_atom_site_label
_atom_site_fract_x
_atom_site_fract_y
_atom_site_fract_z
Ca1 0.000 0.000 0.000
Hf1 0.500 0.500 0.500
Cd1 0.000 0.000 0.500
```

Summary:
The formation energy comes out at 1197 meV/atom.

=====

# CaHf2CdI

A geometry-optimized CaHf2CdI structure (GGA-PBEsol, Alexandria via LeMat-Bulk).

Structure (CIF):
```
data_CaHf2CdI
_symmetry_space_group_name_H-M 'P 4/m m m'
_symmetry_Int_Tables_number 123
_symmetry_space_group_name_Hall '-P 4 2'
_cell_length_a 5.228
_cell_length_b 5.228
_cell_length_c 5.460
_cell_angle_alpha 90.00
_cell_angle_beta 90.00
_cell_angle_gamma 90.00
loop_
_atom_site_label
_atom_site_fract_x
_atom_site_fract_y
_atom_site_fract_z
Ca1 0.000 0.000 0.000
Hf1 0.000 0.500 0.000
Cd1 0.000 0.000 0.500
I1 0.500 0.500 0.500
```

Summary:
The value obtained for the raw formation energy is 1569 meV/atom.